# 1
Material: Pr6Tc2Pb
Method: DFT, PBE-GGA
State: relaxed

It has space group Immm (No. 71), with a = 9.960 Å, b = 10.011 Å, c = 10.906 Å, α = 90.00°, β = 90.00° and γ = 90.00°. The distinct sites, in fractional coordinates, are Pr at (0.000, 0.215, 0.236), Pr at (0.203, 0.500, 0.186), Pr at (0.217, 0.306, 0.500), Tc at (0.000, 0.380, 0.000), Tc at (0.000, 0.500, 0.391), Pb at (0.000, 0.000, 0.000) and Pb at (0.000, 0.000, 0.500).

Its total moment is 0.00 μB per formula unit. As for the formation energy: -0.090 eV per atom.


# 2
Material: Pr5Te2Pb2
Method: DFT, PBE-GGA
State: relaxed

It has space group Cmce (No. 64), with a = 16.102 Å, b = 8.465 Å, c = 8.537 Å, α = 90.00°, β = 90.00° and γ = 90.00°. The distinct sites, in fractional coordinates, are Pr at (0.000, 0.000, 0.000), Pr at (0.137, 0.168, 0.336), Te at (0.200, 0.000, 0.000) and Pb at (0.000, 0.135, 0.635).

Its total moment is 0.00 μB per formula unit. As for the formation energy without anion corrections: -951 meV per atom. Its distance to the lowest polymorph of the same formula is 0 meV per atom.


# 3
Material: Pr5Te4Pb
Method: DFT, PBE-GGA
State: relaxed

It has space group I4/m (No. 87), with a = 10.194 Å, b = 10.194 Å, c = 6.424 Å, α = 90.00°, β = 90.00° and γ = 90.00°. The distinct sites, in fractional coordinates, are Pr at (0.000, 0.000, 0.000), Pr at (0.099, 0.703, 0.500), Te at (0.099, 0.700, 0.000) and Pb at (0.000, 0.000, 0.500).

Its total moment is 0.00 μB per formula unit. As for the formation energy without anion corrections: -1305 meV per atom. Its distance to the lowest polymorph of the same formula is 0 meV per atom.


# 4
Material: Pr2TePb
Method: DFT, PBE-GGA
State: relaxed

It has space group R-3m (No. 166, hexagonal axes), with a = 4.5808 Å, b = 4.5808 Å, c = 22.5008 Å, α = 90.00°, β = 90.00° and γ = 120.00°. The distinct sites, in fractional coordinates, are Pr at (0.0000, 0.0000, 0.2482), Te at (0.0000, 0.0000, 0.0000) and Pb at (0.0000, 0.0000, 0.5000).

Its total moment is 0.00 μB per formula unit. As for the formation energy without anion corrections: -1036 meV per atom. Its distance to the lowest polymorph of the same formula is 25 meV per atom.


# 5
Material: Pr4TePb
Method: DFT, PBE-GGA
State: relaxed

It has space group C2/m (No. 12), with a = 8.083 Å, b = 5.777 Å, c = 8.758 Å, α = 90.00°, β = 92.36° and γ = 90.00°. The distinct sites, in fractional coordinates, are Pr at (0.133, 0.000, 0.358), Pr at (0.158, 0.500, 0.143), Te at (0.000, 0.000, 0.000) and Pb at (0.000, 0.500, 0.500).

Its total moment is 0.00 μB per formula unit. As for the formation energy without anion corrections: -472 meV per atom.


# 6
Material: Pr6Te4Pb
Method: DFT, PBE-GGA
State: relaxed

It has space group Cmcm (No. 63), with a = 4.502 Å, b = 14.554 Å, c = 22.764 Å, α = 90.00°, β = 90.00° and γ = 90.00°. The distinct sites, in fractional coordinates, are Pr at (0.000, 0.000, 0.000), Pr at (0.000, 0.170, 0.250), Pr at (0.000, 0.269, 0.601), Pr at (0.000, 0.440, 0.167), Te at (0.000, 0.082, 0.127), Te at (0.000, 0.354, 0.036) and Pb at (0.000, 0.171, 0.750).

Its total moment is 0.00 μB per formula unit. As for the formation energy without anion corrections: -1147 meV per atom.


# 7
Material: Pr6Te5Pb
Method: DFT, PBE-GGA
State: relaxed

It has space group C2/m (No. 12), with a = 7.872 Å, b = 13.616 Å, c = 7.909 Å, α = 90.00°, β = 109.29° and γ = 90.00°. The distinct sites, in fractional coordinates, are Pr at (0.247, 0.000, 0.253), Pr at (0.247, 0.165, 0.747), Te at (0.000, 0.167, 0.000), Te at (0.000, 0.333, 0.500), Te at (0.000, 0.500, 0.000) and Pb at (0.000, 0.000, 0.500).

Its total moment is 0.00 μB per formula unit. As for the formation energy without anion corrections: -1327 meV per atom.


# 8
Material: PrTe5Pb4
Method: DFT, PBE-GGA
State: relaxed

It has space group I4/mmm (No. 139), with a = 4.630 Å, b = 4.630 Å, c = 32.779 Å, α = 90.00°, β = 90.00° and γ = 90.00°. The distinct sites, in fractional coordinates, are Pr at (0.000, 0.000, 0.000), Te at (0.000, 0.000, 0.098), Te at (0.000, 0.000, 0.300), Te at (0.000, 0.000, 0.500), Pb at (0.000, 0.000, 0.201) and Pb at (0.000, 0.000, 0.398).

Its total moment is 0.00 μB per formula unit. As for the formation energy without anion corrections: -591 meV per atom.


# 9
Material: Pr5Te4Pb
Method: DFT, PBE-GGA
State: relaxed

It has space group I4/mmm (No. 139), with a = 4.550 Å, b = 4.550 Å, c = 32.235 Å, α = 90.00°, β = 90.00° and γ = 90.00°. The distinct sites, in fractional coordinates, are Pr at (0.000, 0.000, 0.000), Pr at (0.000, 0.000, 0.202), Pr at (0.000, 0.000, 0.401), Te at (0.000, 0.000, 0.101), Te at (0.000, 0.000, 0.301) and Pb at (0.000, 0.000, 0.500).

Its total moment is 0.00 μB per formula unit. As for the formation energy without anion corrections: -1288 meV per atom. Its distance to the lowest polymorph of the same formula is 16 meV per atom.


# 10
Material: Pr2TePb
Method: DFT, PBE-GGA
State: relaxed

It has space group R3m (No. 160, hexagonal axes), with a = 4.5239 Å, b = 4.5239 Å, c = 23.5822 Å, α = 90.00°, β = 90.00° and γ = 120.00°. The distinct sites, in fractional coordinates, are Pr at (0.0000, 0.0000, 0.0000), Pr at (0.0000, 0.0000, 0.1763), Te at (0.0000, 0.0000, 0.7569) and Pb at (0.0000, 0.0000, 0.5874).

Its total moment is 0.00 μB per formula unit. As for the formation energy without anion corrections: -945 meV per atom. Its distance to the lowest polymorph of the same formula is 117 meV per atom.


# 11
Material: Pr8Te6Pb
Method: DFT, PBE-GGA
State: relaxed

It has space group P-3 (No. 147), with a = 11.4728 Å, b = 11.4728 Å, c = 4.5066 Å, α = 90.00°, β = 90.00° and γ = 120.00°. The distinct sites, in fractional coordinates, are Pr at (0.0348, 0.3100, 0.2459), Pr at (0.3333, 0.6667, 0.7519), Te at (0.1259, 0.6448, 0.2499) and Pb at (0.0000, 0.0000, 0.0000).

Its total moment is 0.00 μB per formula unit. As for the formation energy without anion corrections: -1044 meV per atom.


# 12
Material: Pr3Te2Pb
Method: DFT, PBE-GGA
State: relaxed

It has space group Immm (No. 71), with a = 4.592 Å, b = 6.450 Å, c = 13.655 Å, α = 90.00°, β = 90.00° and γ = 90.00°. The distinct sites, in fractional coordinates, are Pr at (0.000, 0.000, 0.000), Pr at (0.000, 0.000, 0.336), Te at (0.000, 0.500, 0.333) and Pb at (0.000, 0.500, 0.000).

Its total moment is 0.00 μB per formula unit. As for the formation energy without anion corrections: -1204 meV per atom.


Density of states at the Fermi level readings, ordered: 38.4 34.3 10.7 4.4 15.7 42.8 13.9 6.8 10.4 7.1 13.5 4.9 states/eV/cell
Calculated volume readings, ordered: 30.207 32.319 33.379 34.074 34.052 33.899 33.341 35.132 33.373 34.831 34.247 33.701 Å³ per atom